*w*
Below is an optimized crystal structure of LaGdPb, with properties calculated at the GGA-PBE level.

Geometry as extended XYZ:
```
3
Lattice="-2.123 2.123 5.215 2.123 -2.123 5.215 2.123 2.123 -5.215" Properties=species:S:1:pos:R:3 pbc="T T T"
La 0.000 0.000 0.000
Gd 0.000 0.000 7.248
Pb 0.000 0.000 3.536
```

## Properties
Symmetry: I4mm (107)

*x*
Below is an optimized crystal structure of LaGdPb, with properties calculated at the GGA-PBE level.

Geometry as extended XYZ:
```
3
Lattice="5.364 0.000 0.000 -2.682 4.646 0.000 0.000 0.000 3.909" Properties=species:S:1:pos:R:3 pbc="T T T"
La 0.000 0.000 0.000
Gd 2.682 1.549 1.741
Pb 0.000 3.097 2.490
```

## Properties
Symmetry: P3m1 (156)

From most stable to least stable, the computed energies give *w*, *x*.

*w*
Below is an optimized crystal structure of La2PmGd, with properties calculated at the GGA-PBE level.

Geometry as extended XYZ:
```
4
Lattice="5.225 0.000 0.000 0.000 5.225 0.000 0.000 0.000 5.149" Properties=species:S:1:pos:R:3 pbc="T T T"
La 0.000 2.612 0.000
La 2.612 0.000 0.000
Pm 0.000 0.000 2.575
Gd 2.612 2.612 2.575
```

## Properties
Symmetry: P4/mmm (123)

*x*
Below is an optimized crystal structure of La2PmGd, with properties calculated at the GGA-PBE level.

Geometry as extended XYZ:
```
4
Lattice="0.000 4.146 4.146 4.146 0.000 4.146 4.146 4.146 0.000" Properties=species:S:1:pos:R:3 pbc="T T T"
La 2.073 2.073 2.073
La 6.219 6.219 6.219
Pm 0.000 0.000 0.000
Gd 4.146 4.146 4.146
```

## Properties
Symmetry: Fm-3m (225)

From most stable to least stable, the computed energies give *w*, *x*.

*w*
Below is an optimized crystal structure of La2PrGd, with properties calculated at the GGA-PBE level.

Geometry as extended XYZ:
```
4
Lattice="5.231 0.000 0.000 0.000 5.231 0.000 0.000 0.000 5.193" Properties=species:S:1:pos:R:3 pbc="T T T"
La 0.000 2.615 0.000
La 2.615 0.000 0.000
Pr 0.000 0.000 2.596
Gd 2.615 2.615 2.596
```

## Properties
Symmetry: P4/mmm (123)

*x*
Below is an optimized crystal structure of La2PrGd, with properties calculated at the GGA-PBE level.

Geometry as extended XYZ:
```
4
Lattice="0.000 4.162 4.162 4.162 0.000 4.162 4.162 4.162 0.000" Properties=species:S:1:pos:R:3 pbc="T T T"
La 2.081 2.081 2.081
La 6.243 6.243 6.243
Pr 0.000 0.000 0.000
Gd 4.162 4.162 4.162
```

## Properties
Symmetry: Fm-3m (225)

From most stable to least stable, the computed energies give *w*, *x*.

*w*
Below is an optimized crystal structure of La2GdPt, with properties calculated at the GGA-PBE level.

Geometry as extended XYZ:
```
4
Lattice="3.740 0.000 0.000 0.000 3.740 0.000 0.000 0.000 8.605" Properties=species:S:1:pos:R:3 pbc="T T T"
La 0.000 0.000 1.702
La 0.000 0.000 6.903
Gd 1.870 1.870 4.302
Pt 1.870 1.870 0.000
```

## Properties
Symmetry: P4/mmm (123)

*x*
Below is an optimized crystal structure of La2GdPt, with properties calculated at the GGA-PBE level.

Geometry as extended XYZ:
```
4
Lattice="1.951 1.126 10.699 -1.951 1.126 10.699 0.000 -2.253 10.699" Properties=species:S:1:pos:R:3 pbc="T T T"
La 0.000 0.000 3.513
La 0.000 0.000 28.583
Gd 0.000 0.000 0.000
Pt 0.000 0.000 16.048
```

## Properties
Symmetry: R-3m (166)

From most stable to least stable, the computed energies give *w*, *x*.

*w*
Below is an optimized crystal structure of LaGdRu, with properties calculated at the GGA-PBE level.

Geometry as extended XYZ:
```
3
Lattice="4.554 0.000 0.000 -2.277 3.944 0.000 0.000 0.000 4.526" Properties=species:S:1:pos:R:3 pbc="T T T"
La 0.000 0.000 0.000
Gd 2.277 1.314 2.263
Ru 0.000 2.629 2.263
```

## Properties
Symmetry: P-6m2 (187)

*x*
Below is an optimized crystal structure of LaGdRu, with properties calculated at the GGA-PBE level.

Geometry as extended XYZ:
```
3
Lattice="0.000 3.467 3.467 3.467 0.000 3.467 3.467 3.467 0.000" Properties=species:S:1:pos:R:3 pbc="T T T"
La 0.000 0.000 0.000
Gd 3.467 3.467 3.467
Ru 5.201 5.201 5.201
```

## Properties
Symmetry: F-43m (216)

From most stable to least stable, the computed energies give *x*, *w*.

*w*
Below is an optimized crystal structure of La2GdRu, with properties calculated at the GGA-PBE level.

Geometry as extended XYZ:
```
4
Lattice="3.598 0.000 0.000 0.000 3.598 0.000 0.000 0.000 9.073" Properties=species:S:1:pos:R:3 pbc="T T T"
La 0.000 0.000 1.718
La 0.000 0.000 7.355
Gd 1.799 1.799 4.536
Ru 1.799 1.799 0.000
```

## Properties
Symmetry: P4/mmm (123)

*x*
Below is an optimized crystal structure of La2GdRu, with properties calculated at the GGA-PBE level.

Geometry as extended XYZ:
```
4
Lattice="1.949 1.125 10.478 -1.949 1.125 10.478 0.000 -2.250 10.478" Properties=species:S:1:pos:R:3 pbc="T T T"
La 0.000 0.000 3.570
La 0.000 0.000 27.865
Gd 0.000 0.000 0.000
Ru 0.000 0.000 15.718
```

## Properties
Symmetry: R-3m (166)

From most stable to least stable, the computed energies give *w*, *x*.

*w*
Below is an optimized crystal structure of LaGdSb, with properties calculated at the GGA-PBE level.

Geometry as extended XYZ:
```
3
Lattice="5.166 0.000 0.000 -2.583 4.474 0.000 0.000 0.000 4.211" Properties=species:S:1:pos:R:3 pbc="T T T"
La 0.000 0.000 0.000
Gd 0.000 2.983 2.204
Sb 2.583 1.491 1.634
```

## Properties
Symmetry: P3m1 (156)

*x*
Below is an optimized crystal structure of LaGdSb, with properties calculated at the GGA-PBE level.

Geometry as extended XYZ:
```
3
Lattice="-2.064 2.064 5.371 2.064 -2.064 5.371 2.064 2.064 -5.371" Properties=species:S:1:pos:R:3 pbc="T T T"
La 0.000 0.000 0.000
Gd 0.000 0.000 3.195
Sb 0.000 0.000 7.134
```

## Properties
Symmetry: I4mm (107)

From most stable to least stable, the computed energies give *x*, *w*.

*w*
Below is an optimized crystal structure of La2GdSc, with properties calculated at the GGA-PBE level.

Geometry as extended XYZ:
```
4
Lattice="5.122 0.000 0.000 0.000 5.122 0.000 0.000 0.000 4.938" Properties=species:S:1:pos:R:3 pbc="T T T"
La 0.000 2.561 0.000
La 2.561 0.000 0.000
Gd 0.000 0.000 2.469
Sc 2.561 2.561 2.469
```

## Properties
Symmetry: P4/mmm (123)

*x*
Below is an optimized crystal structure of La2GdSc, with properties calculated at the GGA-PBE level.

Geometry as extended XYZ:
```
4
Lattice="3.679 0.000 0.000 0.000 3.679 0.000 0.000 0.000 9.652" Properties=species:S:1:pos:R:3 pbc="T T T"
La 0.000 0.000 2.273
La 0.000 0.000 7.379
Gd 1.839 1.839 4.826
Sc 1.839 1.839 0.000
```

## Properties
Symmetry: P4/mmm (123)

From most stable to least stable, the computed energies give *x*, *w*.